--- i ---
Here is a PBEsol-optimized structure of Li2V3WO8 from Alexandria. Energies are from SCAN.

Output
Its magnetic moment is 4.96 μB/f.u. As for the crystal system: cubic.

```
Li2V3WO8
1.0
8.2281 0.0000 0.0000
0.0000 8.2281 0.0000
0.0000 0.0000 8.2281
Li V W O
8 12 4 32
Cartesian
0.0494 4.0647 4.1634
2.0077 6.1217 6.2204
2.1064 2.1064 2.1064
4.0647 4.1634 0.0494
4.1634 0.0494 4.0647
6.1217 6.2204 2.0077
6.2204 2.0077 6.1217
8.1788 8.1788 8.1788
1.0209 5.1426 1.0361
1.0285 3.0780 7.2072
1.0361 1.0209 5.1426
3.0780 7.2072 1.0285
3.0855 5.1501 3.0931
3.0931 3.0855 5.1501
5.1350 7.1996 7.1920
5.1426 1.0361 1.0209
5.1501 3.0931 3.0855
7.1920 5.1350 7.1996
7.1996 7.1920 5.1350
7.2072 1.0285 3.0780
1.0285 7.1996 3.0855
3.0855 1.0285 7.1996
5.1426 5.1426 5.1426
7.1996 3.0855 1.0285
0.9194 5.0335 7.3087
0.9745 0.9750 3.1411
0.9750 3.1411 0.9745
0.9729 7.2536 5.0891
1.0820 1.0825 7.1440
1.0841 5.1960 3.0315
1.0825 7.1440 1.0820
1.1376 2.9765 5.2516
2.9765 5.2516 1.1376
3.0315 1.0841 5.1960
3.0299 3.0321 7.1456
3.0321 7.1456 3.0299
3.1411 0.9745 0.9750
3.1390 5.0870 5.0886
3.1395 7.2531 7.2552
3.1946 3.1946 3.1946
5.0335 7.3087 0.9194
5.0891 0.9729 7.2536
5.0886 3.1390 5.0870
5.0870 5.0886 3.1390
5.1960 3.0315 1.0841
5.1966 5.1982 7.1461
5.1982 7.1461 5.1966
5.2516 1.1376 2.9765
7.0905 7.0905 7.0905
7.1440 1.0820 1.0825
7.1456 3.0299 3.0321
7.1461 5.1966 5.1982
7.2552 3.1395 7.2531
7.2536 5.0891 0.9729
7.2531 7.2552 3.1395
7.3087 0.9194 5.0335
```

=====

--- ii ---
Here is a PBEsol-optimized structure of Li2V3WO8 from Alexandria. Energies are from SCAN.

Output
Its magnetic moment is 4.98 μB/f.u. As for the crystal system: hexagonal.

```
Li2V3WO8
1.0
5.7613 0.0000 0.0000
-2.8807 4.9895 0.0000
0.0000 0.0000 9.5855
Li V W O
4 6 2 16
Cartesian
0.0000 0.0000 0.0000
0.0000 0.0000 4.7927
0.0000 3.3263 0.8925
2.8807 1.6632 5.6853
0.0000 1.7539 7.4457
-1.3617 4.1125 7.4457
1.5189 0.8770 2.6530
1.3617 4.1125 7.4457
4.2424 0.8770 2.6530
2.8807 3.2355 2.6530
0.0000 3.3263 4.8590
2.8807 1.6632 0.0663
0.0000 0.0000 1.8060
0.0000 0.0000 6.5988
-1.3173 2.5658 6.1924
0.0000 1.7013 3.7980
-1.4073 4.1388 3.7980
0.0000 3.3263 8.5799
1.4733 0.8506 8.5908
1.3173 2.5658 6.1924
0.0000 4.8474 6.1924
2.8807 0.1421 1.3997
1.5634 2.4237 1.3997
1.4073 4.1388 3.7980
2.8807 1.6632 3.7872
4.2880 0.8506 8.5908
2.8807 3.2882 8.5908
4.1980 2.4237 1.3997
```

=====

ii ends up most stable, edging out the next structure by 2.3 kJ/mol of atoms.

=====

--- i ---
Here is a PBEsol-optimized structure of Li2WO4 from Alexandria. Energies are from SCAN.

Output
Its magnetic moment is 0.00 μB/f.u. As for the crystal system: trigonal.

```
Li2WO4
1.0
7.1742 4.1420 3.1837
-7.1742 4.1420 3.1837
0.0000 -8.2840 3.1837
Li W O
12 6 24
Cartesian
-5.4431 1.7793 3.9943
-4.2625 -3.8242 5.5568
-2.8900 -0.2534 3.9452
1.1806 -5.6035 3.9943
-1.2256 -2.6295 5.6059
1.6644 -2.3761 3.9452
-1.6644 2.3761 5.6059
1.2256 2.6295 3.9452
-1.1806 5.6035 5.5568
2.8900 0.2534 5.6059
4.2625 3.8242 3.9943
5.4431 -1.7793 5.5568
-1.2403 -2.6934 2.3950
-1.7124 2.4209 2.3950
2.9528 0.2726 2.3950
-2.9528 -0.2726 7.1561
1.7124 -2.4209 7.1561
1.2403 2.6935 7.1561
-2.2397 -6.7362 4.0984
-6.9536 -1.4284 5.4527
-2.2478 -1.2169 2.3787
-4.8193 -0.0493 3.9533
-2.3669 -4.1983 5.5978
-0.2529 -2.6738 3.8877
-4.7139 5.3078 4.0984
-2.1891 1.5559 3.8877
2.1778 -1.3382 2.3787
0.0700 2.5551 2.3787
-2.4420 -1.1179 5.6634
2.4524 -4.1489 3.9533
-2.4524 4.1489 5.5978
2.4420 1.1179 3.8877
-0.0700 -2.5551 7.1723
-2.1778 1.3382 7.1723
2.1891 -1.5559 5.6634
4.7139 -5.3078 5.4527
0.2529 2.6738 5.6634
2.3669 4.1983 3.9533
4.8193 0.0493 5.5978
2.2478 1.2169 7.1723
6.9536 1.4284 4.0984
2.2397 6.7362 5.4527
```

=====

--- ii ---
Here is a PBEsol-optimized structure of Li2WO4 from Alexandria. Energies are from SCAN.

Output
Its magnetic moment is 0.00 μB/f.u. As for the crystal system: monoclinic.

```
Li2WO4
1.0
4.8792 -2.9556 0.0000
4.8792 2.9556 0.0000
-0.1097 0.0000 4.9911
Li W O
4 2 8
Cartesian
1.9103 0.8780 1.2938
1.8554 -0.8780 3.7893
7.7932 0.8780 1.2018
7.7383 -0.8780 3.6974
4.8517 1.0084 1.2478
4.7969 -1.0084 3.7433
3.5802 2.1156 1.8772
6.1233 2.1156 0.6184
3.7332 0.5948 4.6631
3.7880 -0.5948 2.1676
5.8606 0.5948 2.8236
5.9154 -0.5948 0.3280
3.5253 -2.1156 4.3728
6.0684 -2.1156 3.1139
```

=====

i ends up most stable, edging out the next structure by 0.8 kJ/mol of atoms.

=====

--- i ---
Here is a PBEsol-optimized structure of Li4Zr3O8 from Alexandria. Energies are from SCAN.

Output
Its magnetic moment is 0.00 μB/f.u. As for the crystal system: monoclinic.

```
Li4Zr3O8
1.0
5.3371 0.0000 0.0000
0.0000 6.1335 0.0000
-2.0133 0.0000 9.7966
Li Zr O
8 6 16
Cartesian
-0.5033 0.7080 2.4491
-1.5100 5.4255 7.3474
0.4058 2.2748 4.8820
-0.6009 3.8587 9.7803
1.1586 1.0066 7.3474
2.1652 5.1268 2.4491
3.9246 2.2748 0.0163
2.9180 3.8587 4.9146
-1.5100 2.4552 7.3474
-0.5033 3.6783 2.4491
1.3813 0.8495 0.2378
0.3747 5.2840 5.1360
2.9491 0.8495 4.6605
1.9424 5.2840 9.5588
0.3073 2.2818 1.2392
-0.6994 3.8517 6.1375
-0.6400 0.7979 6.0905
0.3667 5.3356 1.1922
0.0710 2.2080 8.6662
1.0777 3.9255 3.7679
1.1776 0.6093 3.7930
0.1709 5.5242 8.6912
3.1529 0.6093 1.1053
2.1462 5.5242 6.0036
2.2461 2.2080 6.0286
3.2527 3.9255 1.1303
2.9571 0.7979 8.6044
3.9638 5.3356 3.7061
4.0232 2.2818 3.6591
3.0165 3.8517 8.5573
```

=====

--- ii ---
Here is a PBEsol-optimized structure of Li4Zr3O8 from Alexandria. Energies are from SCAN.

Output
Its magnetic moment is 0.00 μB/f.u. As for the crystal system: orthorhombic.

```
Li4Zr3O8
1.0
3.0215 -4.4729 0.0000
3.0215 4.4729 0.0000
0.0000 0.0000 6.1143
Li Zr O
4 3 8
Cartesian
0.0000 0.0000 0.0000
1.5108 2.2365 4.5576
1.5108 -2.2365 1.5567
3.0215 0.0000 3.0572
0.0000 0.0000 3.0572
1.5108 2.2365 1.3689
1.5108 -2.2365 4.7455
1.4595 0.2089 1.6387
3.0215 2.3888 0.0000
3.0215 2.3232 3.0572
1.4595 -0.2089 4.4756
4.5835 0.2089 4.4756
3.0215 -2.3232 3.0572
3.0215 -2.3888 0.0000
4.5835 -0.2089 1.6387
```

=====

i ends up most stable, edging out the next structure by 2.8 kJ/mol of atoms.

=====

--- i ---
Here is a PBEsol-optimized structure of LiOsPb2 from Alexandria. Energies are from SCAN.

Output
Its magnetic moment is 0.00 μB/f.u. As for the crystal system: cubic.

```
LiOsPb2
1.0
6.7169 0.0000 0.0000
0.0000 6.7169 0.0000
0.0000 0.0000 6.7169
Li Os Pb
4 4 8
Cartesian
0.0000 0.0000 0.0000
0.0000 3.3585 3.3585
3.3585 0.0000 3.3585
3.3585 3.3585 0.0000
0.0000 0.0000 3.3585
0.0000 3.3585 0.0000
3.3585 0.0000 0.0000
3.3585 3.3585 3.3585
1.6792 1.6792 1.6792
1.6792 1.6792 5.0377
1.6792 5.0377 1.6792
1.6792 5.0377 5.0377
5.0377 1.6792 1.6792
5.0377 1.6792 5.0377
5.0377 5.0377 1.6792
5.0377 5.0377 5.0377
```

=====

--- ii ---
Here is a PBEsol-optimized structure of LiOsPb2 from Alexandria. Energies are from SCAN.

Output
Its magnetic moment is 0.00 μB/f.u. As for the crystal system: tetragonal.

```
LiOsPb2
1.0
4.7502 0.0000 0.0000
0.0000 4.7502 0.0000
0.0000 0.0000 3.4103
Li Os Pb
1 1 2
Cartesian
0.0000 0.0000 0.0000
2.3751 2.3751 0.0000
0.0000 2.3751 1.7052
2.3751 0.0000 1.7052
```

=====

i ends up most stable, edging out the next structure by 21.1 kJ/mol of atoms.

=====

--- i ---
Here is a PBEsol-optimized structure of Li2OsPt from Alexandria. Energies are from SCAN.

Output
Its magnetic moment is 0.00 μB/f.u. As for the crystal system: orthorhombic.

```
Li2OsPt
1.0
2.6136 0.0000 0.0000
0.0000 4.2262 0.0000
0.0000 0.0000 5.1057
Li Os Pt
2 1 1
Cartesian
0.0000 0.0000 0.0000
1.3068 2.1131 1.0015
0.0000 0.0000 2.6231
1.3068 2.1131 3.4826
```

=====

--- ii ---
Here is a PBEsol-optimized structure of Li2OsPt from Alexandria. Energies are from SCAN.

Output
Its magnetic moment is 0.00 μB/f.u. As for the crystal system: tetragonal.

```
Li2OsPt
1.0
2.5617 0.0000 0.0000
0.0000 2.5617 0.0000
0.0000 0.0000 8.2834
Li Os Pt
2 1 1
Cartesian
0.0000 0.0000 1.9865
0.0000 0.0000 6.2969
1.2808 1.2808 4.1417
1.2808 1.2808 0.0000
```

=====

--- iii ---
Here is a PBEsol-optimized structure of Li2OsPt from Alexandria. Energies are from SCAN.

Output
Its magnetic moment is 0.00 μB/f.u. As for the crystal system: orthorhombic.

```
Li2OsPt
1.0
2.5376 0.0000 0.0000
0.0000 4.1731 0.0000
0.0000 0.0000 5.1698
Li Os Pt
2 1 1
Cartesian
0.0000 0.0000 1.2829
0.0000 0.0000 3.8869
1.2688 2.0866 0.0000
1.2688 2.0866 2.5849
```

=====

i ends up most stable, edging out the next structure by 1.1 kJ/mol of atoms.

=====

--- i ---
Here is a PBEsol-optimized structure of LiOsPt2 from Alexandria. Energies are from SCAN.

Output
Its magnetic moment is 0.00 μB/f.u. As for the crystal system: orthorhombic.

```
LiOsPt2
1.0
2.7104 0.0000 0.0000
0.0000 4.6239 0.0000
0.0000 0.0000 9.1692
Li Os Pt
2 2 4
Cartesian
0.0000 0.0000 0.0000
1.3552 2.3120 0.0000
0.0000 0.0000 4.5846
1.3552 2.3120 4.5846
0.0000 2.3120 2.2109
0.0000 2.3120 6.9583
1.3552 0.0000 2.2109
1.3552 0.0000 6.9583
```

=====

--- ii ---
Here is a PBEsol-optimized structure of LiOsPt2 from Alexandria. Energies are from SCAN.

Output
Its magnetic moment is 0.00 μB/f.u. As for the crystal system: orthorhombic.

```
LiOsPt2
1.0
2.7013 0.0000 0.0000
0.0000 4.6150 0.0000
0.0000 0.0000 9.2761
Li Os Pt
2 2 4
Cartesian
0.0000 0.0000 0.0000
1.3507 2.3075 0.0000
0.0000 2.3075 2.3191
1.3507 0.0000 2.3191
0.0000 0.0000 4.6406
0.0000 2.3075 7.1086
1.3507 0.0000 7.1086
1.3507 2.3075 4.6406
```

=====

i ends up most stable, edging out the next structure by 3.5 kJ/mol of atoms.